AcSe4: optimized geometry, GGA-PBE.

a = 6.067 Å, b = 6.067 Å, c = 6.067 Å
α = 90.00°, β = 90.00°, γ = 90.00°
Fractional positions:
Se: 0.000 0.000 0.000
Se: 0.500 0.000 0.500
Se: 0.500 0.500 0.000
Se: 0.000 0.500 0.500
Ac: 0.500 0.500 0.500

Summary:
SG = No. 221
Raw formation energy = 96 meV/atom
Spin magnetization = 5.0 μB/f.u.